No. 1
First-principles (GGA-PBE) data for a relaxed structure of Al4Re25, as listed in OQMD.

a b c (Å): 9.5835 9.5835 9.5835
angles (deg): 90.00 90.00 90.00
Space group I-43m (No. 217)
One atom of each set of equivalent atoms:
Al1 0.1757 0.1757 0.1757
Re1 0.0000 0.0000 0.0000
Re2 0.0419 0.3590 0.6410
Re3 0.0924 0.0924 0.7155

raw total energy	-654.40	eV per cell


No. 2
First-principles (GGA-PBE) data for a relaxed structure of Al5Re24, as listed in OQMD.

a b c (Å): 9.5939 9.5939 9.5939
angles (deg): 90.00 90.00 90.00
Space group I-43m (No. 217)
One atom of each set of equivalent atoms:
Al1 0.0000 0.0000 0.0000
Al2 0.1764 0.1764 0.1764
Re1 0.0398 0.3588 0.6412
Re2 0.0918 0.0918 0.7160

raw total energy	-638.66	eV per cell


No. 3
First-principles (GGA-PBE) data for a relaxed structure of Al7Re, as listed in OQMD.

a b c (Å): 4.9006 5.5845 9.6362
angles (deg): 90.37 100.13 106.17
Space group P-1 (No. 2)
One atom of each set of equivalent atoms:
Al1 0.2139 0.4288 0.3086
Al2 0.2382 0.1849 0.0625
Al3 0.2381 0.9392 0.3043
Al4 0.2564 0.4354 0.8192
Al5 0.2620 0.1869 0.5722
Al6 0.2664 0.6925 0.5658
Al7 0.2723 0.7001 0.0578
Re1 0.2544 0.9335 0.8102

raw total energy	-79.05	eV per cell


No. 4
First-principles (GGA-PBE) data for a relaxed structure of Al7Re5, as listed in OQMD.

a b c (Å): 5.2129 5.2129 16.1026
angles (deg): 90.00 90.00 120.00
Space group P6_3/mmc (No. 194)
One atom of each set of equivalent atoms:
Al1 0.0000 0.0000 0.1029
Al2 0.0000 0.5000 0.0000
Al3 0.3333 0.6667 0.1259
Re1 0.1602 0.3203 0.2500
Re2 0.3333 0.6667 0.6684

relative energy among the computed polymorphs	212	meV/atom


No. 5
First-principles (GGA-PBE) data for a relaxed structure of Al12Re17, as listed in OQMD.

a b c (Å): 9.4386 9.4386 9.4386
angles (deg): 90.00 90.00 90.00
Space group I-43m (No. 217)
One atom of each set of equivalent atoms:
Al1 0.0939 0.0939 0.7130
Re1 0.0000 0.0000 0.0000
Re2 0.0549 0.3607 0.6393
Re3 0.1794 0.1794 0.1794

relative energy among the computed polymorphs	0	meV/atom


No. 6
First-principles (GGA-PBE) data for a relaxed structure of Al4Re11, as listed in OQMD.

a b c (Å): 9.5195 9.5195 4.9460
angles (deg): 90.00 90.00 90.00
Space group P4_2/mnm (No. 136)
One atom of each set of equivalent atoms:
Al1 0.1829 0.1829 0.2503
Re1 0.0000 0.0000 0.0000
Re2 0.0374 0.6341 0.5000
Re3 0.0656 0.7367 0.0000
Re4 0.0990 0.9010 0.5000

relative energy among the computed polymorphs	10	meV/atom


No. 7
First-principles (GGA-PBE) data for a relaxed structure of Al2Re13, as listed in OQMD.

a b c (Å): 9.6153 9.6153 4.8995
angles (deg): 90.00 90.00 90.00
Space group P4_2/mnm (No. 136)
One atom of each set of equivalent atoms:
Al1 0.0997 0.0997 0.0000
Re1 0.0000 0.0000 0.5000
Re2 0.0345 0.3689 0.0000
Re3 0.0647 0.2599 0.5000
Re4 0.1825 0.8175 0.2456

raw total energy	-336.76	eV per cell


No. 8
First-principles (GGA-PBE) data for a relaxed structure of Al3Re10, as listed in OQMD.

a b c (Å): 5.0644 5.0644 26.9018
angles (deg): 90.00 90.00 120.00
Space group R-3m (No. 166, hexagonal axes)
One atom of each set of equivalent atoms:
Al1 0.0000 0.0000 0.0000
Al2 0.0000 0.0000 0.4519
Re1 0.0000 0.0000 0.1711
Re2 0.0000 0.0000 0.3456
Re3 0.0011 0.5006 0.4115

relative energy among the computed polymorphs	106	meV/atom


No. 9
First-principles (GGA-PBE) data for a relaxed structure of AlRe, as listed in OQMD.

a b c (Å): 5.2044 8.7458 8.3851
angles (deg): 90.00 90.00 90.00
Space group Cmcm (No. 63)
One atom of each set of equivalent atoms:
Al1 0.0000 0.1615 0.0603
Al2 0.0000 0.3296 0.7500
Re1 0.0000 0.5000 0.0000
Re2 0.2342 0.0812 0.7500

raw total energy	-192.32	eV per cell


No. 10
First-principles (GGA-PBE) data for a relaxed structure of Al2Re, as listed in OQMD.

a b c (Å): 5.0794 5.0794 16.1748
angles (deg): 90.00 90.00 120.00
Space group P6_3/mmc (No. 194)
One atom of each set of equivalent atoms:
Al1 0.0000 0.5000 0.0000
Al2 0.1631 0.3261 0.2500
Al3 0.3333 0.6667 0.6557
Re1 0.0000 0.0000 0.1077
Re2 0.3333 0.6667 0.1240

raw total energy	-157.79	eV per cell


No. 11
First-principles (GGA-PBE) data for a relaxed structure of Al7Re5, as listed in OQMD.

a b c (Å): 5.1224 5.1224 16.9502
angles (deg): 90.00 90.00 120.00
Space group P6_3/mmc (No. 194)
One atom of each set of equivalent atoms:
Al1 0.0000 0.0000 0.1079
Al2 0.0000 0.5000 0.0000
Al3 0.3333 0.6667 0.1646
Re1 0.1628 0.3255 0.7500
Re2 0.3333 0.6667 0.6179

relative energy among the computed polymorphs	0	meV/atom


No. 12
First-principles (GGA-PBE) data for a relaxed structure of Al2Re, as listed in OQMD.

a b c (Å): 4.9583 4.9583 16.0135
angles (deg): 90.00 90.00 120.00
Space group P6_3/mmc (No. 194)
One atom of each set of equivalent atoms:
Al1 0.0000 0.5000 0.0000
Al2 0.1617 0.3235 0.2500
Al3 0.3333 0.6667 0.1253
Re1 0.0000 0.0000 0.0959
Re2 0.3333 0.6667 0.6559

raw total energy	-154.35	eV per cell